PaCrCuO6 | PBE+U | relaxed

Results
Final energy ... -7.47 eV per atom
Crystal system ... trigonal
Calculated density ... 6.9 Mg/m³
SG ... No. 163

Lattice parameters (Å, degrees): 5.3382 5.3382 8.5844 90.00 90.00 120.00
Atoms (fractional coordinates):
Pa  0.3333  0.6667  0.2500
Pa  0.6667  0.3333  0.7500
Cr  0.3333  0.6667  0.7500
Cr  0.6667  0.3333  0.2500
Cu  0.0000  0.0000  0.0000
Cu  0.0000  0.0000  0.5000
O  0.0334  0.3595  0.6276
O  0.0334  0.6739  0.8724
O  0.3261  0.3595  0.8724
O  0.3261  0.9666  0.6276
O  0.3595  0.0334  0.1276
O  0.3595  0.3261  0.3724
O  0.6405  0.6739  0.6276
O  0.6405  0.9666  0.8724
O  0.6739  0.0334  0.3724
O  0.6739  0.6405  0.1276
O  0.9666  0.3261  0.1276
O  0.9666  0.6405  0.3724